Tl2TcP | GGA-PBE | relaxed

abc: 3.7499 4.5149 10.1325
angles: 90.00 90.00 90.00
Element x y z (fractional)
Tl 0.0000 0.0000 0.0000
Tl 0.0000 0.5000 0.5000
Tl 0.5000 0.0000 0.3009
Tl 0.5000 0.5000 0.8009
Tc 0.5000 0.0000 0.5865
Tc 0.5000 0.5000 0.0865
P 0.0000 0.0000 0.7153
P 0.0000 0.5000 0.2153

Summary:
ΔE_f = 1.0 eV per formula unit
calculated density = 10.4 g/cm³
E above lowest polymorph = 0.976 eV/f.u.